Crystalline Sm2ScGa3Pt4 at its relaxed geometry, computed with PBE-GGA.

D(E_F) in states/eV/atom: 0.50
Energy of formation from the pure elements in eV per formula unit: -10.147
Energy in eV for the cell shown: -59.16

```
data_Sm2ScGa3Pt4
_chemical_formula_sum 'Sm2 Sc1 Ga3 Pt4'
_symmetry_space_group_name_H-M 'P -4 m 2'
_symmetry_Int_Tables_number 115
_cell_length_a 4.1413
_cell_length_b 4.1413
_cell_length_c 11.4416
_cell_angle_alpha 90.00
_cell_angle_beta 90.00
_cell_angle_gamma 90.00
loop_
_symmetry_equiv_pos_as_xyz
'x,y,z'
'y,-x,-z'
'-x,-y,z'
'-y,x,-z'
'-x,y,z'
'-y,-x,-z'
'x,-y,z'
'y,x,-z'
loop_
_atom_site_label
_atom_site_fract_x
_atom_site_fract_y
_atom_site_fract_z
Sm1 0.0000 0.5000 0.2356
Sc1 0.0000 0.0000 0.5000
Ga1 0.0000 0.5000 0.8696
Ga2 0.5000 0.5000 0.5000
Pt1 0.0000 0.0000 0.0000
Pt2 0.0000 0.5000 0.6503
Pt3 0.5000 0.5000 0.0000
```



Crystalline SrScGa2Pt2 at its relaxed geometry, computed with PBE-GGA.

D(E_F) in states/eV/atom: 0.63
Energy of formation from the pure elements in eV per formula unit: -5.832
Energy in eV for the cell shown: -31.98

```
data_SrScGa2Pt2
_chemical_formula_sum 'Sr1 Sc1 Ga2 Pt2'
_symmetry_space_group_name_H-M 'P -3 m 1'
_symmetry_Int_Tables_number 164
_symmetry_space_group_name_Hall '-P 3 2"'
_cell_length_a 4.4369
_cell_length_b 4.4369
_cell_length_c 7.4042
_cell_angle_alpha 90.00
_cell_angle_beta 90.00
_cell_angle_gamma 120.00
loop_
_atom_site_label
_atom_site_fract_x
_atom_site_fract_y
_atom_site_fract_z
Sr1 0.0000 0.0000 0.0000
Sc1 0.0000 0.0000 0.5000
Ga1 0.3333 0.6667 0.3046
Pt1 0.3333 0.6667 0.6897
```



Crystalline Sr2ScGa3Pt4 at its relaxed geometry, computed with PBE-GGA.

D(E_F) in states/eV/atom: 0.53
Energy of formation from the pure elements in eV per formula unit: -9.173
Energy in eV for the cell shown: -52.11

```
data_Sr2ScGa3Pt4
_chemical_formula_sum 'Sr2 Sc1 Ga3 Pt4'
_symmetry_space_group_name_H-M 'P -4 m 2'
_symmetry_Int_Tables_number 115
_cell_length_a 4.2575
_cell_length_b 4.2575
_cell_length_c 11.4045
_cell_angle_alpha 90.00
_cell_angle_beta 90.00
_cell_angle_gamma 90.00
loop_
_symmetry_equiv_pos_as_xyz
'x,y,z'
'y,-x,-z'
'-x,-y,z'
'-y,x,-z'
'-x,y,z'
'-y,-x,-z'
'x,-y,z'
'y,x,-z'
loop_
_atom_site_label
_atom_site_fract_x
_atom_site_fract_y
_atom_site_fract_z
Sr1 0.0000 0.5000 0.2389
Sc1 0.0000 0.0000 0.5000
Ga1 0.0000 0.5000 0.8722
Ga2 0.5000 0.5000 0.5000
Pt1 0.0000 0.0000 0.0000
Pt2 0.0000 0.5000 0.6443
Pt3 0.5000 0.5000 0.0000
```



Crystalline TbScGaPt at its relaxed geometry, computed with PBE-GGA.

Relative energy among the computed polymorphs in eV/f.u.: 0.20
D(E_F) in states/eV/atom: 0.72
Energy of formation from the pure elements in eV per formula unit: -3.408
Energy in eV for the cell shown: -93.75

```
data_TbScGaPt
_chemical_formula_sum 'Tb4 Sc4 Ga4 Pt4'
_symmetry_space_group_name_H-M 'F -4 3 m'
_symmetry_Int_Tables_number 216
_symmetry_space_group_name_Hall 'F -4 2 3'
_cell_length_a 6.9010
_cell_length_b 6.9010
_cell_length_c 6.9010
_cell_angle_alpha 90.00
_cell_angle_beta 90.00
_cell_angle_gamma 90.00
loop_
_atom_site_label
_atom_site_fract_x
_atom_site_fract_y
_atom_site_fract_z
Tb1 0.0000 0.0000 0.0000
Sc1 0.0000 0.0000 0.5000
Ga1 0.2500 0.2500 0.2500
Pt1 0.2500 0.2500 0.7500
```



> Among the records above, which one has the lowest D(E_F)?

Sm2ScGa3Pt4



> What is the energy in the first record?

-59.16 eV for the cell shown



> The lowest D(E_F) belongs to which entry?

Sm2ScGa3Pt4